## CsYTe3Au (PBE)

Data for a relaxed structure of CsYTe3Au.

## Properties
Volume ... 35.73 Å³/atom
Magnetic moment ... 0.01 Bohr magnetons per cell
Uncorrected energy ... -25.68 eV per formula unit

The structure in CIF format:
```
data_CsYTe3Au
_symmetry_space_group_name_H-M 'C m c m'
_symmetry_Int_Tables_number 63
_symmetry_space_group_name_Hall '-C 2c 2'
_cell_length_a 4.279
_cell_length_b 17.685
_cell_length_c 11.329
_cell_angle_alpha 90.00
_cell_angle_beta 90.00
_cell_angle_gamma 90.00
loop_
_atom_site_label
_atom_site_type_symbol
_atom_site_fract_x
_atom_site_fract_y
_atom_site_fract_z
Cs1 Cs 0.000 0.247 0.250
Y1 Y 0.000 0.000 0.000
Te1 Te 0.000 0.069 0.750
Te2 Te 0.000 0.378 0.548
Au1 Au 0.000 0.465 0.750
```